Entry 1:
The following is a DFT calculation (PBE) of an optimized crystal structure of Pr2FeSi4Ni.

VASP energy: -6.330 eV/atom

The structure in CIF format:
```
data_Pr2FeSi4Ni
_cell_length_a 4.087
_cell_length_b 4.204
_cell_length_c 16.487
_cell_angle_alpha 90.00
_cell_angle_beta 90.00
_cell_angle_gamma 90.00
_symmetry_space_group_name_H-M 'A m m 2'
_symmetry_Int_Tables_number 38
loop_
_symmetry_equiv_pos_as_xyz
'x,y,z'
'-x,-y,z'
'-x,y,z'
'x,-y,z'
'x,y+1/2,z+1/2'
'-x,-y+1/2,z+1/2'
'-x,y+1/2,z+1/2'
'x,-y+1/2,z+1/2'
loop_
_atom_site_label
_atom_site_fract_x
_atom_site_fract_y
_atom_site_fract_z
Pr1 0.000 0.000 0.000
Pr2 0.500 0.000 0.212
Fe1 0.000 0.000 0.790
Si1 0.000 0.000 0.355
Si2 0.000 0.000 0.651
Si3 0.500 0.000 0.565
Si4 0.500 0.000 0.856
Ni1 0.500 0.000 0.425
```

Entry 2:
The following is a DFT calculation (PBE) of an optimized crystal structure of YHoTlTe3.

VASP energy: -4.781 eV/atom
excess energy over the best structure of this formula in the dataset: 0.000 eV per atom

The structure in CIF format:
```
data_YHoTlTe3
_cell_length_a 4.419
_cell_length_b 15.342
_cell_length_c 12.012
_cell_angle_alpha 90.00
_cell_angle_beta 90.00
_cell_angle_gamma 90.00
_symmetry_space_group_name_H-M 'C m c m'
_symmetry_Int_Tables_number 63
_symmetry_space_group_name_Hall '-C 2c 2'
loop_
_atom_site_label
_atom_site_fract_x
_atom_site_fract_y
_atom_site_fract_z
Y1 0.000 0.000 0.000
Ho1 0.000 0.432 0.250
Tl1 0.000 0.254 0.750
Te1 0.000 0.063 0.250
Te2 0.000 0.357 0.027
```

Entry 3:
The following is a DFT calculation (PBE) of an optimized crystal structure of NaDyPdSe3.

VASP energy: -4.685 eV/atom

The structure in CIF format:
```
data_NaDyPdSe3
_cell_length_a 4.019
_cell_length_b 14.589
_cell_length_c 10.078
_cell_angle_alpha 90.00
_cell_angle_beta 90.00
_cell_angle_gamma 90.00
_symmetry_space_group_name_H-M 'C m c m'
_symmetry_Int_Tables_number 63
_symmetry_space_group_name_Hall '-C 2c 2'
loop_
_atom_site_label
_atom_site_fract_x
_atom_site_fract_y
_atom_site_fract_z
Na1 0.000 0.234 0.250
Dy1 0.000 0.000 0.000
Pd1 0.000 0.494 0.750
Se1 0.000 0.102 0.750
Se2 0.000 0.370 0.578
```

What is the VASP energy in the second record? -4.781 eV/atom